This record from Alexandria via LeMat-Bulk describes a geometry-optimized CeVOs2 structure. The functional is PBE.

extended XYZ file:
```
4
Lattice="-2.752 -0.126 -1.238 0.861 -2.363 -1.672 -2.190 -4.571 5.332" Properties=species:S:1:pos:R:3 pbc="T T T"
Os -0.436 -0.910 1.061
Os -1.754 -3.661 4.271
Ce -2.040 -3.530 1.211
V -0.946 -1.244 -1.455
```

Energy above the lowest structure with this stoichiometry: 0.0000 eV/atom
ΔH_f (0 K): -0.167 eV/atom

This record from Alexandria via LeMat-Bulk describes a geometry-optimized K2NbCu structure. The functional is PBE.

extended XYZ file:
```
4
Lattice="0.000 4.073 4.073 4.073 0.000 4.073 4.073 4.073 0.000" Properties=species:S:1:pos:R:3 pbc="T T T"
K 6.110 6.110 6.110
Nb 4.073 4.073 4.073
K 2.037 2.037 2.037
Cu 0.000 0.000 0.000
```

Energy above the lowest structure with this stoichiometry: 0.2288 eV/atom
ΔH_f (0 K): 1.434 eV/atom

This record from Alexandria via LeMat-Bulk describes a geometry-optimized HgBiPb structure. The functional is PBE.

extended XYZ file:
```
6
Lattice="5.854 0.000 0.000 -2.927 5.168 0.000 0.000 0.000 6.080" Properties=species:S:1:pos:R:3 pbc="T T T"
Bi 1.463 1.557 1.520
Hg 4.390 1.869 4.560
Pb 1.463 0.150 4.560
Hg -1.463 3.299 1.520
Bi 1.463 3.611 4.560
Pb 1.463 5.018 1.520
```

Energy above the lowest structure with this stoichiometry: 0.0000 eV/atom
ΔH_f (0 K): 0.012 eV/atom

This record from Alexandria via LeMat-Bulk describes a geometry-optimized KSe2NF structure. The functional is PBE.

extended XYZ file:
```
5
Lattice="-2.037 2.867 2.883 2.468 -1.690 3.426 3.924 3.763 -0.970" Properties=species:S:1:pos:R:3 pbc="T T T"
Se 1.234 -0.845 1.713
Se -1.019 1.434 1.441
N 1.962 1.881 -0.485
K 2.177 2.470 2.669
F 0.000 0.000 0.000
```

Energy above the lowest structure with this stoichiometry: 0.0000 eV/atom
Energy relative to the elements, uncorrected: 0.57 eV/atom

This record from Alexandria via LeMat-Bulk describes a geometry-optimized Pr2Cu4Sn3Ge structure. The functional is PBE.

extended XYZ file:
```
10
Lattice="4.426 0.000 0.000 0.000 4.426 0.000 0.000 0.000 10.574" Properties=species:S:1:pos:R:3 pbc="T T T"
Cu 0.000 0.000 0.000
Pr 0.000 2.213 7.928
Cu 2.213 2.213 0.000
Sn 0.000 2.213 1.390
Cu 0.000 2.213 3.943
Sn 2.213 0.000 9.184
Ge 2.213 2.213 5.287
Sn 0.000 0.000 5.287
Cu 2.213 0.000 6.631
Pr 2.213 0.000 2.645
```

ΔH_f (0 K): -0.429 eV/atom

This record from Alexandria via LeMat-Bulk describes a geometry-optimized Cs4AlPb4 structure. The functional is PBE.

extended XYZ file:
```
9
Lattice="-3.589 1.765 5.286 -7.818 -3.233 -8.385 -1.421 -6.369 1.161" Properties=species:S:1:pos:R:3 pbc="T T T"
Al 0.000 0.000 0.000
Cs -5.687 0.078 2.452
Pb -10.110 -3.896 -3.824
Pb -2.124 -1.276 1.401
Cs -6.395 -4.571 -4.999
Pb -4.221 -3.204 4.099
Cs -9.027 -6.990 -1.613
Pb -9.203 -7.301 -5.551
Cs -4.548 -4.194 0.285
```

ΔH_f (0 K): -0.017 eV/atom

This record from Alexandria via LeMat-Bulk describes a geometry-optimized B5C7 structure. The functional is PBE.

extended XYZ file:
```
12
Lattice="-2.646 -5.165 0.507 4.817 2.797 1.704 -1.638 1.332 3.035" Properties=species:S:1:pos:R:3 pbc="T T T"
C -1.259 -0.211 2.795
C 1.014 -0.204 4.010
C -2.265 -3.117 2.177
B 2.698 1.965 3.252
C 0.260 -0.479 2.663
C -1.846 -1.131 3.892
B 0.652 0.428 1.361
C -1.701 -2.283 1.044
C 3.181 4.095 4.694
B 0.588 -2.009 2.254
B -1.554 -2.671 3.545
B 0.974 1.400 4.340
```

Energy above the lowest structure with this stoichiometry: 0.1070 eV/atom
ΔH_f (0 K): 0.365 eV/atom

This record from Alexandria via LeMat-Bulk describes a geometry-optimized PuBi3 structure. The functional is PBE.

extended XYZ file:
```
4
Lattice="4.671 0.000 0.000 0.000 4.671 0.000 -2.336 -2.336 5.527" Properties=species:S:1:pos:R:3 pbc="T T T"
Bi 0.000 2.336 2.763
Pu 0.000 0.000 0.000
Bi 2.336 2.336 0.000
Bi 2.336 0.000 2.763
```

ΔH_f (0 K): -0.215 eV/atom